1.
In12Ga7Hg after structural relaxation. Source: Alexandria, functional GGA-PBE.

## Properties
E above lowest polymorph	0.0180	eV/atom
crystal system	trigonal
N(E_F)	7.10	states/eV/f.u.
density	6.96	g cm⁻³
magnetization	0.00	μB/f.u.
energy of formation	0.054	eV/atom

a b c (Å): 8.2626 8.2626 8.2626
angles (deg): 105.03 105.03 105.03
Closest atoms and distances in Å follow each position.
Atoms (fractional coordinates):
In  0.0863  0.7981  0.2840  3 Ga 2.95-3.25, 3 In 3.19-3.30
In  0.1183  0.2067  0.4225  4 Ga 3.07-3.27, 3 In 3.19-3.30, 1 Hg 3.23
In  0.2019  0.7160  0.9137  3 Ga 2.96-3.25, 3 In 3.19-3.30
In  0.2067  0.4225  0.1183  4 Ga 3.07-3.27, 3 In 3.19-3.30, 1 Hg 3.23
In  0.2840  0.0863  0.7981  3 Ga 2.96-3.25, 3 In 3.19-3.30
In  0.4225  0.1183  0.2067  4 Ga 3.07-3.27, 3 In 3.19-3.30, 1 Hg 3.23
In  0.5775  0.8817  0.7933  4 Ga 3.07-3.27, 3 In 3.19-3.30, 1 Hg 3.23
In  0.7160  0.9137  0.2019  3 Ga 2.96-3.25, 3 In 3.19-3.30
In  0.7933  0.5775  0.8817  4 Ga 3.07-3.27, 3 In 3.19-3.30, 1 Hg 3.23
In  0.7981  0.2840  0.0863  3 Ga 2.96-3.25, 3 In 3.19-3.30
In  0.8817  0.7933  0.5775  4 Ga 3.07-3.27, 3 In 3.19-3.30, 1 Hg 3.23
In  0.9137  0.2019  0.7160  3 Ga 2.96-3.25, 3 In 3.19-3.30
Ga  0.0000  0.0000  0.0000  12 In 3.21-3.25
Ga  0.1798  0.6087  0.5325  1 Ga 2.87, 3 In 2.95-3.07, 1 Hg 3.06
Ga  0.3913  0.4675  0.8202  1 Ga 2.87, 3 In 2.96-3.07, 1 Hg 3.06
Ga  0.4675  0.8202  0.3913  1 Ga 2.87, 3 In 2.96-3.07, 1 Hg 3.06
Ga  0.5325  0.1798  0.6087  1 Ga 2.87, 3 In 2.96-3.07, 1 Hg 3.06
Ga  0.6087  0.5325  0.1798  1 Ga 2.87, 3 In 2.96-3.07, 1 Hg 3.06
Ga  0.8202  0.3913  0.4675  1 Ga 2.87, 3 In 2.96-3.07, 1 Hg 3.06
Hg  0.5000  0.5000  0.5000  6 Ga 3.06, 6 In 3.23

***

2.
LaMgGa after structural relaxation. Source: Alexandria, functional GGA-PBE.

## Properties
crystal system	trigonal
N(E_F)	0.56	states/eV/f.u.
density	5.06	g cm⁻³
magnetization	0.00	μB/f.u.
energy of formation	-0.356	eV/atom

a b c (Å): 5.1332 5.1332 6.7049
angles (deg): 90.00 90.00 120.00
Closest atoms and distances in Å follow each position.
Atoms (fractional coordinates):
La  0.0000  0.0000  0.0000  6 Ga 3.17-3.32, 2 Mg 3.19-3.52
La  0.3333  0.6667  0.3695  4 Ga 3.10-3.12, 3 Mg 3.14
Mg  0.0000  0.0000  0.5245  5 La 3.14-3.52, 3 Mg 3.18
Mg  0.6667  0.3333  0.6961  4 Ga 3.10-3.18, 3 Mg 3.18
Ga  0.3333  0.6667  0.8325  3 Mg 3.10, 4 La 3.10-3.17
Ga  0.6667  0.3333  0.2222  6 La 3.12-3.32, 1 Mg 3.18

***

3.
Ac9Pm4Tl11 after structural relaxation. Source: Alexandria, functional GGA-PBE.

## Properties
crystal system	orthorhombic
N(E_F)	25.13	states/eV/f.u.
density	9.94	g cm⁻³
magnetization	0.00	μB/f.u.
energy of formation	-0.283	eV/atom

a b c (Å): 14.7464 14.7464 3.8207
angles (deg): 90.00 90.00 101.65
Closest atoms and distances in Å follow each position.
Atoms (fractional coordinates):
Ac  0.0000  0.0000  0.0000  4 Pm 3.49, 4 Tl 3.57, 2 Ac 3.82
Ac  0.1239  0.6447  0.0000  8 Tl 3.55-3.79, 1 Pm 3.59, 2 Ac 3.82
Ac  0.2910  0.4632  0.0000  8 Tl 3.52-3.60, 3 Ac 3.82-3.94
Ac  0.3553  0.8761  0.0000  8 Tl 3.55-3.79, 1 Pm 3.59, 2 Ac 3.82
Ac  0.4632  0.2910  0.0000  8 Tl 3.52-3.60, 3 Ac 3.82-3.94
Ac  0.5368  0.7090  0.0000  8 Tl 3.52-3.60, 3 Ac 3.82-3.94
Ac  0.6447  0.1239  0.0000  8 Tl 3.55-3.79, 1 Pm 3.59, 2 Ac 3.82
Ac  0.7090  0.5368  0.0000  8 Tl 3.52-3.60, 3 Ac 3.82-3.94
Ac  0.8761  0.3553  0.0000  8 Tl 3.55-3.79, 1 Pm 3.59, 2 Ac 3.82
Pm  0.0689  0.2404  0.0000  6 Tl 3.30-3.61, 2 Ac 3.49-3.59
Pm  0.2404  0.0689  0.0000  6 Tl 3.30-3.61, 2 Ac 3.49-3.59
Pm  0.7596  0.9311  0.0000  6 Tl 3.30-3.61, 2 Ac 3.49-3.59
Pm  0.9311  0.7596  0.0000  6 Tl 3.30-3.61, 2 Ac 3.49-3.59
Tl  0.0800  0.4308  0.5000  2 Pm 3.37, 1 Tl 3.42, 6 Ac 3.55-3.63
Tl  0.1319  0.8681  0.5000  6 Ac 3.57-3.79, 4 Pm 3.61, 2 Tl 3.82
Tl  0.2533  0.2533  0.5000  4 Pm 3.30, 4 Ac 3.58
Tl  0.3321  0.6679  0.5000  8 Ac 3.52-3.57, 3 Tl 3.82-3.84
Tl  0.4308  0.0800  0.5000  2 Pm 3.37, 1 Tl 3.42, 6 Ac 3.55-3.63
Tl  0.5000  0.5000  0.5000  8 Ac 3.57, 4 Tl 3.82-3.84
Tl  0.5692  0.9200  0.5000  2 Pm 3.37, 1 Tl 3.42, 6 Ac 3.55-3.63
Tl  0.6679  0.3321  0.5000  8 Ac 3.52-3.57, 3 Tl 3.82-3.84
Tl  0.7467  0.7467  0.5000  4 Pm 3.30, 4 Ac 3.58
Tl  0.8681  0.1319  0.5000  6 Ac 3.57-3.79, 4 Pm 3.61, 2 Tl 3.82
Tl  0.9200  0.5692  0.5000  2 Pm 3.37, 1 Tl 3.42, 6 Ac 3.55-3.63

***

4.
PaBRuRh2 after structural relaxation. Source: Alexandria, functional GGA-PBE.

## Properties
crystal system	tetragonal
N(E_F)	1.45	states/eV/f.u.
density	12.14	g cm⁻³
magnetization	0.00	μB/f.u.
energy of formation	-0.711	eV/atom

a b c (Å): 4.2089 4.2089 4.2376
angles (deg): 90.00 90.00 90.00
Closest atoms and distances in Å follow each position.
Atoms (fractional coordinates):
Pa  0.0000  0.0000  0.0000  4 Ru 2.98, 8 Rh 2.99
B  0.5000  0.5000  0.5000  4 Rh 2.10, 2 Ru 2.12
Ru  0.5000  0.5000  0.0000  2 B 2.12
Rh  0.0000  0.5000  0.5000  2 B 2.10
Rh  0.5000  0.0000  0.5000  2 B 2.10

***

5.
Zr2Zn2Br after structural relaxation. Source: Alexandria, functional GGA-PBE.

## Properties
E above lowest polymorph	0.0000	eV/atom
crystal system	tetragonal
N(E_F)	2.51	states/eV/f.u.
ΔE_f (raw)	-1.1	eV/f.u.
density	6.29	g cm⁻³
magnetization	0.00	μB/f.u.

a b c (Å): 7.1170 7.1170 4.0970
angles (deg): 90.00 90.00 90.00
Closest atoms and distances in Å follow each position.
Atoms (fractional coordinates):
Zr  0.1590  0.3410  0.0000  2 Br 2.68, 6 Zn 2.92-2.93
Zr  0.3410  0.8410  0.0000  2 Br 2.68, 6 Zn 2.92-2.93
Zr  0.6590  0.1590  0.0000  2 Br 2.68, 6 Zn 2.92-2.93
Zr  0.8410  0.6590  0.0000  2 Br 2.68, 6 Zn 2.92-2.93
Zn  0.1349  0.6349  0.5000  1 Zn 2.72, 6 Zr 2.92-2.93
Zn  0.3651  0.1349  0.5000  1 Zn 2.72, 6 Zr 2.92-2.93
Zn  0.6349  0.8651  0.5000  1 Zn 2.72, 6 Zr 2.92-2.93
Zn  0.8651  0.3651  0.5000  1 Zn 2.72, 6 Zr 2.92-2.93
Br  0.0000  0.0000  0.0000  4 Zr 2.68
Br  0.5000  0.5000  0.0000  4 Zr 2.68

***

6.
Pm7Dy2Er2 after structural relaxation. Source: Alexandria, functional GGA-PBE.

## Properties
E above lowest polymorph	0.0457	eV/atom
crystal system	monoclinic
N(E_F)	13.18	states/eV/f.u.
density	7.42	g cm⁻³
magnetization	0.00	μB/f.u.
energy of formation	0.158	eV/atom

a b c (Å): 6.9494 6.9494 8.2092
angles (deg): 101.63 101.63 78.29
Closest atoms and distances in Å follow each position.
Atoms (fractional coordinates):
Pm  0.0000  0.0000  0.0000  6 Pm 3.62-4.03
Pm  0.0815  0.4765  0.8198  5 Pm 3.31-3.62, 3 Dy 3.41-3.61, 1 Er 3.44
Pm  0.2644  0.2644  0.4484  1 Dy 3.28, 4 Pm 3.40-3.48, 4 Er 3.51-3.54
Pm  0.4765  0.0815  0.8198  5 Pm 3.31-3.62, 3 Dy 3.41-3.61, 1 Er 3.44
Pm  0.5235  0.9185  0.1802  5 Pm 3.31-3.62, 3 Dy 3.41-3.61, 1 Er 3.44
Pm  0.7356  0.7356  0.5516  1 Dy 3.28, 4 Pm 3.40-3.48, 4 Er 3.51-3.54
Pm  0.9185  0.5235  0.1802  5 Pm 3.31-3.62, 3 Dy 3.41-3.61, 1 Er 3.44
Dy  0.4504  0.4504  0.1893  7 Pm 3.28-3.61, 1 Dy 3.54, 2 Er 3.55
Dy  0.5496  0.5496  0.8107  7 Pm 3.28-3.61, 1 Dy 3.54, 2 Er 3.55
Er  0.2095  0.7905  0.5000  6 Pm 3.44-3.54, 2 Dy 3.55, 1 Er 3.68
Er  0.7905  0.2095  0.5000  6 Pm 3.44-3.54, 2 Dy 3.55, 1 Er 3.68

***

7.
KPaSe2O6 after structural relaxation. Source: Alexandria, functional GGA-PBE.

## Properties
crystal system	trigonal
N(E_F)	1.55	states/eV/f.u.
ΔE_f (raw)	-16.3	eV/f.u.
density	5.00	g cm⁻³
magnetization	0.00	μB/f.u.

a b c (Å): 6.4238 6.4238 6.4238
angles (deg): 56.93 56.93 56.93
Closest atoms and distances in Å follow each position.
Atoms (fractional coordinates):
K  0.0000  0.0000  0.0000  6 O 2.90
Pa  0.5000  0.5000  0.5000  6 O 2.20
Se  0.2624  0.2624  0.2624  3 O 1.90
Se  0.7376  0.7376  0.7376  3 O 1.90
O  0.0952  0.6809  0.4971  1 Se 1.90
O  0.3191  0.5029  0.9048  1 Se 1.90
O  0.4971  0.0952  0.6809  1 Se 1.90
O  0.5029  0.9048  0.3191  1 Se 1.90
O  0.6809  0.4971  0.0952  1 Se 1.90
O  0.9048  0.3191  0.5029  1 Se 1.90

***

8.
Sm3Y6ThSc2 after structural relaxation. Source: Alexandria, functional GGA-PBE.

## Properties
crystal system	monoclinic
N(E_F)	16.74	states/eV/f.u.
density	5.79	g cm⁻³
magnetization	0.00	μB/f.u.
energy of formation	0.042	eV/atom

a b c (Å): 6.1121 6.1121 11.7694
angles (deg): 94.97 94.97 120.00
Closest atoms and distances in Å follow each position.
Atoms (fractional coordinates):
Sm  0.0000  0.0000  0.0000  6 Sm 3.52-3.53, 6 Y 3.60-3.61
Sm  0.3328  0.6672  0.0000  6 Sm 3.52-3.54, 6 Y 3.60-3.61
Sm  0.6672  0.3328  0.0000  6 Sm 3.52-3.54, 6 Y 3.60-3.61
Y  0.0855  0.4185  0.2563  1 Th 3.48, 2 Sc 3.48, 6 Y 3.53, 3 Sm 3.60
Y  0.2482  0.2482  0.7436  1 Th 3.48, 2 Sc 3.48, 6 Y 3.53, 3 Sm 3.61
Y  0.4185  0.0855  0.2563  1 Th 3.48, 2 Sc 3.48, 6 Y 3.53, 3 Sm 3.60
Y  0.5815  0.9145  0.7437  1 Th 3.48, 2 Sc 3.48, 6 Y 3.53, 3 Sm 3.60
Y  0.7518  0.7518  0.2564  1 Th 3.48, 2 Sc 3.48, 6 Y 3.53, 3 Sm 3.61
Y  0.9145  0.5815  0.7437  1 Th 3.48, 2 Sc 3.48, 6 Y 3.53, 3 Sm 3.60
Th  0.5000  0.5000  0.5000  6 Y 3.48, 6 Sc 3.53
Sc  0.1669  0.8331  0.5000  6 Y 3.48, 3 Sc 3.53, 3 Th 3.53
Sc  0.8331  0.1669  0.5000  6 Y 3.48, 3 Sc 3.53, 3 Th 3.53

***

9.
NbSb2TeC after structural relaxation. Source: Alexandria, functional GGA-PBE.

## Properties
E above lowest polymorph	0.4906	eV/atom
crystal system	tetragonal
N(E_F)	3.75	states/eV/f.u.
ΔE_f (raw)	7.9	eV/f.u.
density	5.18	g cm⁻³
magnetization	1.95	μB/f.u.

a b c (Å): 5.3555 5.3555 5.3214
angles (deg): 90.00 90.00 90.00
Closest atoms and distances in Å follow each position.
Atoms (fractional coordinates):
Nb  0.0000  0.0000  0.0000  2 Te 2.66, 4 Sb 2.68
Sb  0.0000  0.5000  0.0000  2 Nb 2.68
Sb  0.5000  0.0000  0.0000  2 Nb 2.68
Te  0.0000  0.0000  0.5000  2 Nb 2.66
C  0.5000  0.5000  0.5000  8 Sb 3.77, 4 Te 3.79

***

10.
MnCu2Ni3 after structural relaxation. Source: Alexandria, functional GGA-PBE.

## Properties
crystal system	orthorhombic
N(E_F)	5.14	states/eV/f.u.
density	8.28	g cm⁻³
magnetization	4.80	μB/f.u.
energy of formation	0.136	eV/atom

a b c (Å): 6.6885 6.6885 4.9266
angles (deg): 90.00 90.00 40.70
Closest atoms and distances in Å follow each position.
Atoms (fractional coordinates):
Mn  0.2023  0.7978  0.7500  6 Ni 2.32-2.50
Mn  0.7978  0.2023  0.2500  6 Ni 2.32-2.50
Cu  0.3419  0.3419  0.0000  2 Cu 2.46, 8 Ni 2.47-2.73, 2 Mn 2.71
Cu  0.3419  0.3419  0.5000  2 Cu 2.46, 8 Ni 2.47-2.73, 2 Mn 2.71
Cu  0.6581  0.6581  0.0000  2 Cu 2.46, 8 Ni 2.47-2.73, 2 Mn 2.71
Cu  0.6581  0.6581  0.5000  2 Cu 2.46, 8 Ni 2.47-2.73, 2 Mn 2.71
Ni  0.1488  0.1942  0.7500  1 Mn 2.39, 4 Cu 2.47-2.54, 3 Ni 2.47-2.50
Ni  0.1942  0.1488  0.2500  1 Mn 2.39, 4 Cu 2.47-2.54, 3 Ni 2.47-2.50
Ni  0.2975  0.7025  0.2500  4 Mn 2.32-2.50, 2 Ni 2.50, 4 Cu 2.52
Ni  0.7025  0.2975  0.7500  4 Mn 2.32-2.50, 2 Ni 2.50, 4 Cu 2.52
Ni  0.8058  0.8512  0.7500  1 Mn 2.39, 4 Cu 2.47-2.54, 3 Ni 2.47-2.50
Ni  0.8512  0.8058  0.2500  1 Mn 2.39, 4 Cu 2.47-2.54, 3 Ni 2.47-2.50

***

11.
SmYCd2 after structural relaxation. Source: Alexandria, functional GGA-PBE.

## Properties
crystal system	tetragonal
N(E_F)	4.62	states/eV/f.u.
density	7.11	g cm⁻³
magnetization	0.53	μB/f.u.
energy of formation	-0.332	eV/atom

a b c (Å): 3.7605 3.7605 7.6655
angles (deg): 90.00 90.00 90.00
Closest atoms and distances in Å follow each position.
Atoms (fractional coordinates):
Sm  0.0000  0.0000  0.0000  8 Cd 3.32
Y  0.0000  0.0000  0.5000  8 Cd 3.24
Cd  0.5000  0.5000  0.2593  4 Y 3.24, 4 Sm 3.32
Cd  0.5000  0.5000  0.7407  4 Y 3.24, 4 Sm 3.32